Entry 1:
# SrTb4Au5 GGA-PBE optimized geometry
# Crystal system ... tetragonal
# Energy relative to the elements ... -827 meV per atom
# Total moment ... 0.0 μB per formula unit
data_SrTb4Au5
_space_group_name_H-M_alt 'P 4/m m m'
_space_group_IT_number 123
_space_group_name_Hall '-P 4 2'
_cell_length_a 3.636
_cell_length_b 3.636
_cell_length_c 18.542
_cell_angle_alpha 90.00
_cell_angle_beta 90.00
_cell_angle_gamma 90.00
loop_
_atom_site_label
_atom_site_type_symbol
_atom_site_fract_x
_atom_site_fract_y
_atom_site_fract_z
_atom_site_occupancy
Sr1 Sr 0.000 0.000 0.000 1
Tb1 Tb 0.000 0.000 0.206 1
Tb2 Tb 0.000 0.000 0.403 1
Au1 Au 0.500 0.500 0.119 1
Au2 Au 0.500 0.500 0.305 1
Au3 Au 0.500 0.500 0.500 1

Entry 2:
# TaTi2Sb2 GGA-PBE optimized geometry
# Energy ... -0.5412 Ry per atom
# Crystal system ... tetragonal
# Total moment ... 0.0 μB per formula unit
data_TaTi2Sb2
_space_group_name_H-M_alt 'P 4/m b m'
_space_group_IT_number 127
_space_group_name_Hall '-P 4 2ab'
_cell_length_a 7.384
_cell_length_b 7.384
_cell_length_c 3.578
_cell_angle_alpha 90.00
_cell_angle_beta 90.00
_cell_angle_gamma 90.00
loop_
_atom_site_label
_atom_site_type_symbol
_atom_site_fract_x
_atom_site_fract_y
_atom_site_fract_z
_atom_site_occupancy
Ta1 Ta 0.000 0.000 0.000 1
Ti1 Ti 0.148 0.352 0.500 1
Sb1 Sb 0.149 0.649 0.000 1